[1]
Computed, not measured: a relaxed BeAg2 crystal at the PBEsol level of DFT.

Properties
calculated volume = 13.58 A^3/atom
E = -3.513 eV/atom
space group = No. 140
M_tot = 0.0 Bohr magnetons per cell
calculated formation energy = 28 meV per atom

The structure in POSCAR format:
```
BeAg2
1.0
5.804 0.000 0.000
0.000 5.804 0.000
0.000 0.000 4.838
Be Ag
4 8
Cartesian
0.000 0.000 1.210
0.000 0.000 3.629
2.902 2.902 1.210
2.902 2.902 3.629
0.960 1.942 0.000
0.960 3.862 2.419
1.942 0.960 2.419
1.942 4.844 0.000
3.862 0.960 0.000
3.862 4.844 2.419
4.844 1.942 2.419
4.844 3.862 0.000
```



[2]
Computed, not measured: a relaxed BeAg5 crystal at the PBEsol level of DFT.

Properties
energy above the most stable polymorph in this dataset = 0.0292 eV/atom
calculated volume = 15.23 A^3/atom
E = -3.361 eV/atom
space group = No. 8
M_tot = 0.0 Bohr magnetons per cell
calculated formation energy = 65 meV per atom

The structure in POSCAR format:
```
BeAg5
1.0
9.780 0.000 0.000
0.000 2.899 0.000
-2.497 0.000 6.444
Be Ag
2 10
Cartesian
0.000 0.000 0.000
4.890 1.450 0.000
8.530 0.000 3.215
-0.796 1.450 5.530
0.931 1.450 1.962
1.459 0.000 4.473
3.183 0.000 0.900
3.640 1.450 3.215
4.094 0.000 5.530
5.821 0.000 1.962
6.349 1.450 4.473
8.073 1.450 0.900
```



[3]
Computed, not measured: a relaxed Be2Ag crystal at the PBEsol level of DFT.

Properties
energy above the most stable polymorph in this dataset = 0.3005 eV/atom
calculated volume = 11.72 A^3/atom
E = -3.495 eV/atom
space group = No. 140
M_tot = 0.0 Bohr magnetons per cell
calculated formation energy = 276 meV per atom

The structure in POSCAR format:
```
Be2Ag
1.0
4.174 0.000 0.000
0.000 4.174 0.000
0.000 0.000 8.068
Be Ag
8 4
Cartesian
0.740 1.347 0.000
0.740 2.827 4.034
1.347 0.740 4.034
1.347 3.434 0.000
2.827 0.740 0.000
2.827 3.434 4.034
3.434 1.347 4.034
3.434 2.827 0.000
0.000 0.000 2.017
0.000 0.000 6.051
2.087 2.087 2.017
2.087 2.087 6.051
```



[4]
Computed, not measured: a relaxed BeAg2 crystal at the PBEsol level of DFT.

Properties
calculated volume = 13.85 A^3/atom
E = -3.441 eV/atom
space group = No. 63
M_tot = 0.0 Bohr magnetons per cell
calculated formation energy = 100 meV per atom

The structure in POSCAR format:
```
BeAg2
1.0
2.805 0.000 0.000
0.000 13.520 0.000
0.000 0.000 4.383
Be Ag
4 8
Cartesian
0.000 0.853 1.096
0.000 12.667 3.287
1.403 5.907 3.287
1.403 7.613 1.096
0.000 3.850 3.287
0.000 5.618 1.096
0.000 7.902 3.287
0.000 9.670 1.096
1.403 1.142 3.287
1.403 2.910 1.096
1.403 10.610 3.287
1.403 12.378 1.096
```



[5]
Computed, not measured: a relaxed Be2Ag crystal at the PBEsol level of DFT.

Properties
energy above the most stable polymorph in this dataset = 0.3491 eV/atom
calculated volume = 11.76 A^3/atom
E = -3.446 eV/atom
space group = No. 164
M_tot = 0.0 Bohr magnetons per cell
calculated formation energy = 324 meV per atom

The structure in POSCAR format:
```
Be2Ag
1.0
2.646 0.000 0.000
-1.323 2.292 0.000
0.000 0.000 5.816
Be Ag
2 1
Cartesian
0.000 1.528 2.061
1.323 0.764 3.754
0.000 0.000 0.000
```



[6]
Computed, not measured: a relaxed BeAg5 crystal at the PBEsol level of DFT.

Properties
energy above the most stable polymorph in this dataset = 0.4773 eV/atom
calculated volume = 18.37 A^3/atom
E = -2.913 eV/atom
space group = No. 191
M_tot = 0.0 Bohr magnetons per cell
calculated formation energy = 513 meV per atom

The structure in POSCAR format:
```
BeAg5
1.0
5.199 0.000 0.000
-2.600 4.503 0.000
0.000 0.000 4.708
Be Ag
1 5
Cartesian
0.000 0.000 0.000
-1.300 2.251 2.354
0.000 3.002 0.000
2.600 0.000 2.354
1.300 2.251 2.354
2.600 1.501 0.000
```



[7]
Computed, not measured: a relaxed Be2Ag crystal at the PBEsol level of DFT.

Properties
energy above the most stable polymorph in this dataset = 0.0306 eV/atom
calculated volume = 10.61 A^3/atom
E = -3.765 eV/atom
space group = No. 194
M_tot = 0.0 Bohr magnetons per cell
calculated formation energy = 6 meV per atom

The structure in POSCAR format:
```
Be2Ag
1.0
4.502 0.000 0.000
-2.251 3.899 0.000
0.000 0.000 7.256
Be Ag
8 4
Cartesian
0.000 0.000 0.000
0.000 0.000 3.628
0.000 1.279 1.814
-1.143 3.259 1.814
1.108 0.640 5.442
1.143 3.259 1.814
3.394 0.640 5.442
2.251 2.620 5.442
0.000 2.599 4.057
0.000 2.599 6.827
2.251 1.300 0.429
2.251 1.300 3.199
```



[8]
Computed, not measured: a relaxed Be3Ag2 crystal at the PBEsol level of DFT.

Properties
calculated volume = 11.45 A^3/atom
E = -3.610 eV/atom
space group = No. 43
M_tot = 0.0 Bohr magnetons per cell
calculated formation energy = 114 meV per atom

The structure in POSCAR format:
```
Be3Ag2
1.0
0.000 5.905 2.363
4.103 0.000 2.363
4.103 5.905 0.000
Be Ag
6 4
Cartesian
0.000 0.000 0.000
2.051 2.953 1.181
4.641 4.595 2.982
3.565 7.215 2.982
5.617 7.548 4.163
6.692 10.168 4.163
5.635 6.538 1.827
7.686 8.226 3.009
2.571 5.273 1.827
4.623 9.490 3.009
```



[9]
Computed, not measured: a relaxed BeAg2 crystal at the PBEsol level of DFT.

Properties
calculated volume = 14.10 A^3/atom
E = -3.368 eV/atom
space group = No. 58
M_tot = 0.0 Bohr magnetons per cell
calculated formation energy = 173 meV per atom

The structure in POSCAR format:
```
BeAg2
1.0
2.842 0.000 0.000
0.000 7.234 0.000
0.000 0.000 4.115
Be Ag
2 4
Cartesian
0.000 0.000 0.000
1.421 3.617 2.058
0.674 2.421 0.000
0.747 6.038 2.058
2.095 1.196 2.058
2.168 4.813 0.000
```



[10]
Computed, not measured: a relaxed BeAg2 crystal at the PBEsol level of DFT.

Properties
calculated volume = 14.32 A^3/atom
E = -3.378 eV/atom
space group = No. 141
M_tot = 0.0 Bohr magnetons per cell
calculated formation energy = 163 meV per atom

The structure in POSCAR format:
```
BeAg2
1.0
2.797 0.000 0.000
0.000 2.797 0.000
0.000 0.000 21.955
Be Ag
4 8
Cartesian
0.000 0.699 8.233
0.000 2.098 13.722
1.399 0.699 2.744
1.399 2.098 19.211
0.000 0.699 17.697
0.000 0.699 20.725
0.000 2.098 1.230
0.000 2.098 4.258
1.399 0.699 12.208
1.399 0.699 15.236
1.399 2.098 6.719
1.399 2.098 9.747
```



[11]
Computed, not measured: a relaxed Be7Ag6 crystal at the PBEsol level of DFT.

Properties
calculated volume = 11.87 A^3/atom
E = -3.646 eV/atom
space group = No. 166
M_tot = 0.0 Bohr magnetons per cell
calculated formation energy = 36 meV per atom

The structure in POSCAR format:
```
Be7Ag6
1.0
2.306 1.331 8.379
-2.306 1.331 8.379
0.000 -2.663 8.379
Be Ag
7 6
Cartesian
0.000 0.000 0.000
0.000 -1.353 6.506
-1.171 0.676 6.506
-1.171 -0.676 18.631
1.171 0.676 6.506
1.171 -0.676 18.631
0.000 1.353 18.631
0.000 0.000 4.243
0.000 0.000 8.621
0.000 0.000 11.265
0.000 0.000 13.872
0.000 0.000 16.516
0.000 0.000 20.894
```



[12]
Computed, not measured: a relaxed Be2Ag crystal at the PBEsol level of DFT.

Properties
energy above the most stable polymorph in this dataset = 0.0000 eV/atom
calculated volume = 10.58 A^3/atom
E = -3.795 eV/atom
space group = No. 227
M_tot = 0.0 Bohr magnetons per cell
calculated formation energy = -25 meV per atom

The structure in POSCAR format:
```
Be2Ag
1.0
0.000 3.166 3.166
3.166 0.000 3.166
3.166 3.166 0.000
Be Ag
4 2
Cartesian
0.000 0.000 0.000
1.583 1.583 0.000
1.583 0.000 1.583
0.000 1.583 1.583
2.375 2.375 2.375
3.958 3.958 3.958
```